Crystalline AcPr2Er4Tm at its relaxed geometry, computed with PBE.

The structure in POSCAR format:
```
AcPr2Er4Tm
1.0
9.447 -0.049 -1.865
-0.055 9.447 -1.865
-5.904 -5.908 8.550
Tm Pr Er Ac
2 4 8 2
direct
0.000 0.000 0.000
0.500 0.500 0.500
0.500 0.000 0.000
0.000 0.000 0.500
0.500 0.500 0.000
0.500 0.000 0.500
0.258 0.241 0.008
0.742 0.759 0.993
0.254 0.769 0.012
0.741 0.758 0.508
0.731 0.246 0.488
0.269 0.754 0.512
0.746 0.231 0.988
0.259 0.242 0.492
0.000 0.500 0.000
0.000 0.500 0.500
```

Results
**Space-group type**: Imma (74)
**ρ**: 8077 kg/m³
**Final energy**: -4.121 eV per atom

=====

Crystalline AcPrEr2Tm at its relaxed geometry, computed with PBE.

The structure in POSCAR format:
```
AcPrEr2Tm
1.0
-3.153 3.615 4.313
3.048 -3.050 4.785
4.962 7.539 -2.691
Pr Er Ac Tm
2 4 2 2
direct
0.750 0.153 0.306
0.250 0.847 0.694
0.000 0.249 0.000
0.000 0.751 0.000
0.500 0.249 0.000
0.500 0.751 0.000
0.250 0.658 0.317
0.750 0.342 0.683
0.250 0.254 0.508
0.750 0.746 0.492
```

Results
**Space-group type**: Cmcm (63)
**ρ**: 7870 kg/m³
**Final energy**: -4.105 eV per atom

=====

Crystalline AcPr2Er5Tm at its relaxed geometry, computed with PBE.

The structure in POSCAR format:
```
AcPr2Er5Tm
1.0
8.816 0.000 0.000
0.000 8.816 0.000
-4.408 -4.408 7.786
Er Pr Tm Ac
10 4 2 2
direct
0.842 0.927 0.269
0.927 0.427 0.269
0.158 0.073 0.731
0.500 0.500 0.000
0.427 0.342 0.269
0.073 0.573 0.731
0.000 0.000 0.000
0.573 0.658 0.731
0.658 0.158 0.731
0.342 0.842 0.269
0.883 0.617 0.000
0.617 0.117 0.000
0.117 0.383 0.000
0.383 0.883 0.000
0.250 0.750 0.500
0.750 0.250 0.500
0.750 0.750 0.500
0.250 0.250 0.500
```

Results
**Space-group type**: I4/mcm (140)
**ρ**: 8308 kg/m³
**Final energy**: -4.285 eV per atom

=====

Crystalline AcPr4ErTm2 at its relaxed geometry, computed with PBE.

The structure in POSCAR format:
```
AcPr4ErTm2
1.0
5.199 0.000 0.000
2.599 5.752 -0.583
2.599 -0.143 9.356
Er Pr Ac Tm
1 4 1 2
direct
0.000 0.000 0.000
0.878 0.875 0.369
0.122 0.125 0.631
0.373 0.375 0.878
0.627 0.625 0.122
0.500 0.500 0.500
0.258 0.241 0.243
0.742 0.759 0.757
```

Results
**Space-group type**: C2/m (12)
**ρ**: 7703 kg/m³
**Final energy**: -4.555 eV per atom

=====

Crystalline AcPr2ErTm5 at its relaxed geometry, computed with PBE.

The structure in POSCAR format:
```
AcPr2ErTm5
1.0
-6.398 5.853 1.503
-5.522 -4.773 -4.917
3.795 -4.524 8.006
Pr Er Tm Ac
4 2 10 2
direct
0.617 0.117 0.000
0.383 0.883 0.000
0.117 0.383 0.000
0.883 0.617 0.000
0.250 0.750 0.500
0.750 0.250 0.500
0.342 0.842 0.269
0.158 0.073 0.731
0.073 0.573 0.731
0.573 0.658 0.731
0.842 0.927 0.269
0.927 0.427 0.269
0.000 0.000 0.000
0.427 0.342 0.269
0.658 0.158 0.731
0.500 0.500 0.000
0.750 0.750 0.500
0.250 0.250 0.500
```

Results
**Space-group type**: I4/mcm (140)
**ρ**: 8402 kg/m³
**Final energy**: -4.245 eV per atom

=====

Crystalline AcPr5Er2Tm at its relaxed geometry, computed with PBE.

The structure in POSCAR format:
```
AcPr5Er2Tm
1.0
5.576 0.000 0.000
-2.788 12.287 0.000
0.000 0.000 9.544
Pr Ac Er Tm
10 2 4 2
direct
0.011 0.021 0.541
0.392 0.784 0.032
0.608 0.216 0.532
0.741 0.482 0.858
0.310 0.621 0.721
0.475 0.951 0.755
0.690 0.379 0.221
0.259 0.518 0.358
0.525 0.049 0.255
0.989 0.979 0.041
0.603 0.205 0.925
0.397 0.795 0.425
0.175 0.351 0.674
0.112 0.225 0.285
0.825 0.649 0.174
0.888 0.775 0.785
0.765 0.529 0.532
0.235 0.471 0.032
```

Results
**Space-group type**: Cmc2_1 (36)
**ρ**: 7289 kg/m³
**Final energy**: -4.478 eV per atom